The following is a DFT calculation (GGA-PBE) of crystalline CaNiRu at its relaxed geometry.

The calculation puts the formation enthalpy at 0 K at 0.139 eV/atom. As for the total energy: -66.6 eV for the cell shown. The space group is C2/m, No. 12.

Cell and atoms, written as POSCAR:
```
CaNiRu
1.0
5.930 0.000 0.009
0.000 4.117 0.000
-4.014 0.000 9.676
Ru Ca Ni
4 4 4
direct
0.385 0.000 0.230
0.615 0.000 0.770
0.385 0.500 0.730
0.615 0.500 0.270
0.801 0.000 0.102
0.199 0.000 0.898
0.801 0.500 0.602
0.199 0.500 0.398
0.182 0.000 0.597
0.818 0.000 0.403
0.182 0.500 0.097
0.818 0.500 0.903
```